A plane-wave DFT calculation with PBE-GGA was carried out for an optimized crystal structure of AcZrSb3.

crystal system: orthorhombic
volume: 30.2 Å³/atom
E_form (uncorrected): -769 meV/atom

a b c (Å): 6.5419 6.5085 14.1734
angles (deg): 90.00 90.00 90.00
Element x y z (fractional)
Ac: 0.7500 0.4916 0.6835
Ac: 0.2500 0.5084 0.3165
Ac: 0.7500 0.9916 0.3165
Ac: 0.2500 0.0084 0.6835
Zr: 0.5000 0.2500 0.0853
Zr: 0.0000 0.7500 0.9147
Zr: 0.5000 0.7500 0.9147
Zr: 0.0000 0.2500 0.0853
Sb: 0.0000 0.2500 0.4975
Sb: 0.5000 0.7500 0.5025
Sb: 0.0000 0.7500 0.5025
Sb: 0.5000 0.2500 0.4975
Sb: 0.2500 0.1198 0.9234
Sb: 0.7500 0.8802 0.0766
Sb: 0.2500 0.6198 0.0766
Sb: 0.7500 0.3802 0.9234
Sb: 0.2500 0.5066 0.7776
Sb: 0.7500 0.4934 0.2224
Sb: 0.2500 0.0066 0.2224
Sb: 0.7500 0.9934 0.7776